1.
Density functional theory data (PBE-GGA) for a relaxed CsRbSb crystal.

a b c (Å): 11.039 7.441 7.609
angles (deg): 77.50 90.00 90.00
Atoms (fractional coordinates):
Sb 0.971 0.643 0.830
Sb 0.529 0.643 0.330
Sb 0.471 0.357 0.670
Sb 0.029 0.357 0.170
Cs 0.389 0.160 0.255
Cs 0.889 0.840 0.245
Cs 0.611 0.840 0.745
Cs 0.111 0.160 0.755
Rb 0.293 0.627 0.956
Rb 0.707 0.373 0.044
Rb 0.793 0.373 0.544
Rb 0.207 0.627 0.456

Results
Calculated volume: 50.85 A^3/atom
ΔE_f (raw): -0.351 eV/atom
Energy: -28.0 eV/cell
D(E_F): 0.415 states/eV per atom



2.
Density functional theory data (PBE-GGA) for a relaxed PaSnPdPt crystal.

a b c (Å): 4.864 4.864 4.864
angles (deg): 60.00 60.00 60.00
Atoms (fractional coordinates):
Pa 0.000 0.000 0.000
Sn 0.500 0.500 0.500
Pd 0.250 0.250 0.250
Pt 0.750 0.750 0.750

Results
Calculated volume: 20.34 A^3/atom
Energy: -27.6 eV/cell
D(E_F): 1.274 states/eV per atom



3.
Density functional theory data (PBE-GGA) for a relaxed SrLa2Au2 crystal.

a b c (Å): 5.251 5.251 7.028
angles (deg): 68.06 68.06 90.00
Atoms (fractional coordinates):
Au 0.385 0.385 0.231
Au 0.615 0.615 0.769
La 0.750 0.250 0.500
La 0.250 0.750 0.500
Sr 0.000 0.000 0.000

Results
Calculated volume: 32.90 A^3/atom
Energy: -20.6 eV/cell
D(E_F): 0.031 states/eV per atom



4.
Density functional theory data (PBE-GGA) for a relaxed BaSb3Te crystal.

a b c (Å): 6.226 6.226 6.226
angles (deg): 90.00 90.00 90.00
Atoms (fractional coordinates):
Sb 0.000 0.000 0.500
Sb 0.000 0.500 0.000
Sb 0.500 0.000 0.000
Te 0.500 0.500 0.500
Ba 0.000 0.000 0.000

Results
Calculated volume: 48.26 A^3/atom
ΔE_f (raw): 1.083 eV/atom
Energy: -12.0 eV/cell
D(E_F): 1.805 states/eV per atom



5.
Density functional theory data (PBE-GGA) for a relaxed Pm4Nd2H crystal.

a b c (Å): 4.959 4.959 9.553
angles (deg): 105.04 105.04 90.00
Atoms (fractional coordinates):
Pm 0.849 0.849 0.697
Pm 0.000 0.500 0.000
Pm 0.151 0.151 0.303
Pm 0.500 0.000 0.000
Nd 0.352 0.352 0.705
Nd 0.648 0.648 0.295
H 0.000 0.000 0.000

Results
Calculated volume: 31.22 A^3/atom
Energy: -31.5 eV/cell
D(E_F): 1.266 states/eV per atom



6.
Density functional theory data (PBE-GGA) for a relaxed KZn2Hg crystal.

a b c (Å): 4.201 3.157 7.914
angles (deg): 78.54 90.00 90.00
Atoms (fractional coordinates):
Hg 0.000 0.340 0.453
K 0.500 0.687 0.756
Zn 0.000 0.007 0.107
Zn 0.500 0.466 0.184

Results
Calculated volume: 25.72 A^3/atom
Energy: -3.8 eV/cell
D(E_F): 0.348 states/eV per atom



Q: Number 5 is which compound?
A: Pm4Nd2H



Q: Which formula does entry 4 have?
A: BaSb3Te



Q: Which formula does entry 4 have?
A: BaSb3Te



Q: What is the calculated volume in the second record?
A: 20.34 A^3/atom